[1]
AgRhCl2 | PBE | relaxed

The space group is Cmmm (No. 65) and the conventional cell measures 3.2899, 5.9803 and 8.1208 Å, with angles of 90.00, 90.00 and 90.00 degrees. The asymmetric unit holds Ag at (0.0000, 0.0000, 0.0000), Rh at (0.0000, 0.0000, 0.5000) and Cl at (0.0000, 0.5000, 0.2884).

The calculation puts the offset from the most stable computed form at 1.13 eV/f.u. For the magnetic moment, the calculation gives 0.09 μB/atom. For the electronic total energy, the calculation gives -3.3977 eV/atom.


[2]
AgRhCl2 | PBE | relaxed

The space group is R-3m (No. 166, hexagonal axes) and the conventional cell measures 3.3652, 3.3652 and 25.0030 Å, with angles of 90.00, 90.00 and 120.00 degrees. The asymmetric unit holds Ag at (0.0000, 0.0000, 0.0000), Rh at (0.0000, 0.0000, 0.5000) and Cl at (0.0000, 0.0000, 0.4087).

The calculation puts the offset from the most stable computed form at 1.20 eV/f.u. For the magnetic moment, the calculation gives 0.25 μB/atom. For the electronic total energy, the calculation gives -3.3809 eV/atom.


[3]
AgRhCl2 | PBE | relaxed

The space group is P2/m (No. 10) and the conventional cell measures 5.3453, 3.4421 and 6.4307 Å, with angles of 90.00, 114.31 and 90.00 degrees. The asymmetric unit holds Ag at (0.0000, 0.0000, 0.0000), Rh at (0.5000, 0.0000, 0.0000) and Cl at (0.3624, 0.5000, 0.7314).

The calculation puts the offset from the most stable computed form at 0.20 eV/f.u. For the magnetic moment, the calculation gives 0.00 μB/atom. For the electronic total energy, the calculation gives -3.6295 eV/atom.


[4]
Ag2RhCl | PBE | relaxed

The space group is C2/m (No. 12) and the conventional cell measures 10.4438, 3.0155 and 4.6874 Å, with angles of 90.00, 108.44 and 90.00 degrees. The asymmetric unit holds Ag at (0.2438, 0.0000, 0.2425), Rh at (0.0000, 0.5000, 0.0000) and Cl at (0.0000, 0.0000, 0.5000).

The calculation puts the offset from the most stable computed form at 0.81 eV/f.u. For the magnetic moment, the calculation gives 0.00 μB/atom. For the electronic total energy, the calculation gives -3.3671 eV/atom.